1.
! PmSm2Sn9 PBE-GGA relaxed; values from VASP
&SYSTEM
  ibrav = 0, nat = 12, ntyp = 3
/
ATOMIC_SPECIES
Sn 118.71 Sn.upf
Sm 150.36 Sm.upf
Pm 145.00 Pm.upf
CELL_PARAMETERS angstrom
-3.085 0.278 -3.692
-1.967 -4.195 1.327
-9.037 6.787 8.064
ATOMIC_POSITIONS crystal
Sn 0.500 0.000 0.167
Sm 0.000 0.000 0.334
Sn 0.000 0.500 0.833
Sn 0.500 0.000 0.833
Sn 0.000 0.500 0.167
Pm 0.000 0.000 0.000
Sn 0.500 0.500 0.334
Sn 0.500 0.500 0.666
Sm 0.000 0.000 0.666
Sn 0.500 0.000 0.500
Sn 0.000 0.500 0.500
Sn 0.500 0.500 0.000
! N(E_F) in states/eV/f.u.: 6.17
! Magnetic moment in μB/f.u.: 0.0
! Formation energy in eV per formula unit: -5.77



2.
! Pm3SmSn12 PBE-GGA relaxed; values from VASP
&SYSTEM
  ibrav = 0, nat = 16, ntyp = 3
/
ATOMIC_SPECIES
Sn 118.71 Sn.upf
Pm 145.00 Pm.upf
Sm 150.36 Sm.upf
CELL_PARAMETERS angstrom
4.775 0.000 0.000
0.000 4.775 0.000
0.000 0.000 18.855
ATOMIC_POSITIONS crystal
Sn 0.500 0.500 0.000
Sn 0.000 0.500 0.124
Pm 0.000 0.000 0.500
Sn 0.500 0.000 0.625
Sm 0.000 0.000 0.000
Sn 0.500 0.000 0.124
Sn 0.000 0.500 0.876
Sn 0.500 0.500 0.751
Sn 0.500 0.500 0.249
Pm 0.000 0.000 0.249
Pm 0.000 0.000 0.751
Sn 0.000 0.500 0.375
Sn 0.500 0.000 0.876
Sn 0.000 0.500 0.625
Sn 0.500 0.500 0.500
Sn 0.500 0.000 0.375
! N(E_F) in states/eV/f.u.: 9.45
! Magnetic moment in μB/f.u.: 0.0
! Formation energy in eV per formula unit: -7.83



3.
! PmSm5Sn5 PBE-GGA relaxed; values from VASP
&SYSTEM
  ibrav = 0, nat = 11, ntyp = 3
/
ATOMIC_SPECIES
Sm 150.36 Sm.upf
Sn 118.71 Sn.upf
Pm 145.00 Pm.upf
CELL_PARAMETERS angstrom
6.289 0.000 0.000
-3.144 7.205 0.060
0.000 -2.630 8.206
ATOMIC_POSITIONS crystal
Sm 0.667 0.334 0.334
Sm 0.333 0.666 0.666
Sn 0.500 0.000 0.000
Sn 0.835 0.669 0.664
Pm 0.000 0.000 0.000
Sm 0.669 0.338 0.836
Sm 0.000 0.000 0.500
Sm 0.331 0.662 0.164
Sn 0.165 0.331 0.336
Sn 0.164 0.328 0.828
Sn 0.836 0.672 0.172
! N(E_F) in states/eV/f.u.: 10.85
! Magnetic moment in μB/f.u.: 0.6
! Formation energy in eV per formula unit: -5.20



4.
! Pm2Sm2Sn PBE-GGA relaxed; values from VASP
&SYSTEM
  ibrav = 0, nat = 5, ntyp = 3
/
ATOMIC_SPECIES
Sm 150.36 Sm.upf
Pm 145.00 Pm.upf
Sn 118.71 Sn.upf
CELL_PARAMETERS angstrom
4.395 0.000 0.000
0.000 4.395 0.000
-2.198 -2.198 8.806
ATOMIC_POSITIONS crystal
Sm 0.750 0.250 0.500
Pm 0.415 0.415 0.831
Sn 0.000 0.000 0.000
Sm 0.250 0.750 0.500
Pm 0.585 0.585 0.169
! N(E_F) in states/eV/f.u.: 5.83
! Magnetic moment in μB/f.u.: 0.0
! Formation energy in eV per formula unit: 0.75



5.
! PmSm2Sn2 PBE-GGA relaxed; values from VASP
&SYSTEM
  ibrav = 0, nat = 10, ntyp = 3
/
ATOMIC_SPECIES
Sn 118.71 Sn.upf
Sm 150.36 Sm.upf
Pm 145.00 Pm.upf
CELL_PARAMETERS angstrom
5.167 0.000 0.000
-2.584 4.475 0.000
0.000 0.000 13.106
ATOMIC_POSITIONS crystal
Sn 0.667 0.333 0.128
Sm 0.333 0.667 0.250
Sn 0.333 0.667 0.872
Sm 0.667 0.333 0.750
Sm 0.000 0.000 0.500
Sn 0.333 0.667 0.628
Pm 0.000 0.000 0.750
Sm 0.000 0.000 0.000
Pm 0.000 0.000 0.250
Sn 0.667 0.333 0.372
! N(E_F) in states/eV/f.u.: 5.16
! Excess energy over the best structure of this formula in the dataset in kJ/mol of atoms: 30.92
! Magnetic moment in μB/f.u.: 0.0
! Formation energy in eV per formula unit: -1.52



6.
! PmSmSn2 PBE-GGA relaxed; values from VASP
&SYSTEM
  ibrav = 0, nat = 4, ntyp = 3
/
ATOMIC_SPECIES
Pm 145.00 Pm.upf
Sm 150.36 Sm.upf
Sn 118.71 Sn.upf
CELL_PARAMETERS angstrom
4.618 0.000 -0.030
0.000 4.369 0.000
-2.269 0.000 5.845
ATOMIC_POSITIONS crystal
Pm 0.718 0.000 0.975
Sm 0.448 0.500 0.434
Sn 0.992 0.000 0.523
Sn 0.173 0.500 0.885
! N(E_F) in states/eV/f.u.: 3.09
! Magnetic moment in μB/f.u.: 0.0
! Formation energy in eV per formula unit: -3.12



7.
! PmSm6Sn4 PBE-GGA relaxed; values from VASP
&SYSTEM
  ibrav = 0, nat = 11, ntyp = 3
/
ATOMIC_SPECIES
Pm 145.00 Pm.upf
Sm 150.36 Sm.upf
Sn 118.71 Sn.upf
CELL_PARAMETERS angstrom
-7.536 -0.492 3.267
2.493 -5.175 -5.891
6.691 -2.232 4.237
ATOMIC_POSITIONS crystal
Pm 0.000 0.000 0.000
Sm 0.320 0.491 0.491
Sn 0.000 0.180 0.627
Sn 0.000 0.627 0.180
Sm 0.000 0.829 0.509
Sm 0.000 0.509 0.829
Sn 0.447 0.820 0.820
Sm 0.680 0.171 0.171
Sm 0.500 0.000 0.500
Sm 0.500 0.500 0.000
Sn 0.553 0.373 0.373
! N(E_F) in states/eV/f.u.: 12.50
! Magnetic moment in μB/f.u.: 0.0
! Formation energy in eV per formula unit: -4.03



8.
! Pm4SmSn4 PBE-GGA relaxed; values from VASP
&SYSTEM
  ibrav = 0, nat = 18, ntyp = 3
/
ATOMIC_SPECIES
Sn 118.71 Sn.upf
Pm 145.00 Pm.upf
Sm 150.36 Sm.upf
CELL_PARAMETERS angstrom
6.379 0.000 0.000
0.000 9.665 0.000
0.000 0.000 9.665
ATOMIC_POSITIONS crystal
Sn 0.128 0.114 0.277
Sn 0.628 0.777 0.386
Pm 0.376 0.299 0.914
Sn 0.372 0.614 0.777
Sn 0.372 0.386 0.223
Sm 0.000 0.000 0.000
Pm 0.124 0.201 0.586
Sn 0.628 0.223 0.614
Pm 0.876 0.414 0.201
Pm 0.624 0.086 0.299
Sn 0.872 0.277 0.886
Sn 0.128 0.886 0.723
Pm 0.376 0.701 0.086
Sn 0.872 0.723 0.114
Pm 0.124 0.799 0.414
Pm 0.624 0.914 0.701
Pm 0.876 0.586 0.799
Sm 0.500 0.500 0.500
! N(E_F) in states/eV/f.u.: 9.39
! Magnetic moment in μB/f.u.: 0.0
! Formation energy in eV per formula unit: -4.18



9.
! Pm2SmSn2 PBE-GGA relaxed; values from VASP
&SYSTEM
  ibrav = 0, nat = 10, ntyp = 3
/
ATOMIC_SPECIES
Sm 150.36 Sm.upf
Pm 145.00 Pm.upf
Sn 118.71 Sn.upf
CELL_PARAMETERS angstrom
8.123 0.368 0.682
-1.328 8.023 0.682
-2.504 -3.091 4.581
ATOMIC_POSITIONS crystal
Sm 0.881 0.119 0.750
Pm 0.554 0.777 0.915
Pm 0.223 0.446 0.585
Sn 0.378 0.622 0.250
Sm 0.119 0.881 0.250
Sn 0.146 0.854 0.750
Sn 0.854 0.146 0.250
Pm 0.446 0.223 0.085
Pm 0.777 0.554 0.415
Sn 0.622 0.378 0.750
! N(E_F) in states/eV/f.u.: 5.28
! Excess energy over the best structure of this formula in the dataset in kJ/mol of atoms: 27.81
! Magnetic moment in μB/f.u.: 0.0
! Formation energy in eV per formula unit: -2.04



10.
! Pm3SmSn2 PBE-GGA relaxed; values from VASP
&SYSTEM
  ibrav = 0, nat = 12, ntyp = 3
/
ATOMIC_SPECIES
Sn 118.71 Sn.upf
Sm 150.36 Sm.upf
Pm 145.00 Pm.upf
CELL_PARAMETERS angstrom
-4.953 4.099 -3.785
-5.601 -2.349 4.785
6.653 4.885 3.938
ATOMIC_POSITIONS crystal
Sn 0.545 0.359 0.717
Sm 0.000 0.000 0.000
Pm 0.214 0.464 0.427
Pm 0.786 0.536 0.573
Pm 0.500 0.750 0.000
Pm 0.500 0.250 0.000
Sn 0.827 0.141 0.283
Sn 0.173 0.859 0.717
Pm 0.214 0.964 0.427
Sn 0.455 0.641 0.283
Pm 0.786 0.036 0.573
Sm 0.000 0.500 0.000
! N(E_F) in states/eV/f.u.: 8.39
! Excess energy over the best structure of this formula in the dataset in kJ/mol of atoms: 23.26
! Magnetic moment in μB/f.u.: 0.0
! Formation energy in eV per formula unit: -2.04



11.
! Pm2Sm3Sn2 PBE-GGA relaxed; values from VASP
&SYSTEM
  ibrav = 0, nat = 7, ntyp = 3
/
ATOMIC_SPECIES
Sm 150.36 Sm.upf
Pm 145.00 Pm.upf
Sn 118.71 Sn.upf
CELL_PARAMETERS angstrom
-2.460 2.567 0.111
-5.500 -5.141 -3.004
2.292 -0.641 8.641
ATOMIC_POSITIONS crystal
Sm 0.788 0.222 0.576
Pm 0.886 0.744 0.772
Sm 0.212 0.778 0.424
Sn 0.581 0.887 0.161
Pm 0.114 0.256 0.228
Sn 0.419 0.113 0.839
Sm 0.000 0.500 0.000
! N(E_F) in states/eV/f.u.: 8.27
! Magnetic moment in μB/f.u.: 0.0
! Formation energy in eV per formula unit: -2.05



12.
! Pm2SmSn PBE-GGA relaxed; values from VASP
&SYSTEM
  ibrav = 0, nat = 4, ntyp = 3
/
ATOMIC_SPECIES
Pm 145.00 Pm.upf
Sn 118.71 Sn.upf
Sm 150.36 Sm.upf
CELL_PARAMETERS angstrom
3.521 0.000 0.000
1.760 3.049 0.000
1.760 1.016 12.054
ATOMIC_POSITIONS crystal
Pm 0.906 0.906 0.283
Sn 0.500 0.500 0.500
Sm 0.000 0.000 0.000
Pm 0.094 0.094 0.717
! N(E_F) in states/eV/f.u.: 6.64
! Excess energy over the best structure of this formula in the dataset in kJ/mol of atoms: 41.80
! Magnetic moment in μB/f.u.: 0.5
! Formation energy in eV per formula unit: -0.06